Computed, not measured: an optimized crystal structure of Pr2SiI at the PBE level of DFT.

```
Pr2SiI
1.0
3.774 -2.178 0.000
3.774 2.178 0.000
-2.517 0.000 7.799
I Pr Si
1 2 1
direct
0.500 0.500 0.500 I
0.733 0.733 0.198 Pr
0.267 0.267 0.802 Pr
0.000 0.000 0.000 Si
```

Calculated values
Total DFT energy (no corrections) in eV for the cell shown: -20.35

Computed, not measured: an optimized crystal structure of PrSmSi2I2 at the PBE level of DFT.

```
PrSmSi2I2
1.0
4.186 0.000 0.000
-2.093 3.626 0.000
0.000 0.000 12.546
I Pr Si Sm
2 1 2 1
direct
0.333 0.667 0.170 I
0.667 0.333 0.824 I
0.000 0.000 0.342 Pr
0.667 0.333 0.498 Si
0.333 0.667 0.509 Si
0.000 0.000 0.658 Sm
```

Calculated values
Total DFT energy (no corrections) in eV for the cell shown: -29.81

Computed, not measured: an optimized crystal structure of PrYSi2I2 at the PBE level of DFT.

```
PrYSi2I2
1.0
4.167 0.000 0.000
-2.083 3.608 0.000
0.000 0.000 12.392
I Pr Si Y
2 1 2 1
direct
0.333 0.667 0.168 I
0.667 0.333 0.821 I
0.000 0.000 0.343 Pr
0.667 0.333 0.500 Si
0.333 0.667 0.512 Si
0.000 0.000 0.657 Y
```

Calculated values
Total DFT energy (no corrections) in eV for the cell shown: -31.45

Computed, not measured: an optimized crystal structure of PrZrI at the PBE level of DFT.

```
PrZrI
1.0
5.600 0.000 0.000
-2.800 4.850 0.000
0.000 0.000 3.407
I Pr Zr
1 1 1
direct
0.667 0.333 0.000 I
0.333 0.667 0.000 Pr
0.000 0.000 0.000 Zr
```

Calculated values
Total DFT energy (no corrections) in eV for the cell shown: -13.66